(1)
{"formula": "KScAs2Br", "functional": "PBE-GGA", "state": "optimized geometry", "lattice": [[5.1753, 0.0000, 0.0000], [0.0000, 5.1753, 0.0000], [0.0000, 0.0000, 5.7016]], "species": ["K", "Sc", "As", "As", "Br"], "fractional_positions": [[0.0000, 0.0000, 0.0000], [0.5000, 0.5000, 0.5000], [0.0000, 0.5000, 0.5000], [0.5000, 0.0000, 0.5000], [0.5000, 0.5000, 0.0000]], "crystal_system": "tetragonal", "density_g_cm3": 3.4, "sg": "P4/mmm, No. 123", "raw_formation_energy_ev_per_atom": -0.623, "de_polymorph_ev_per_atom": 0.000}

(2)
{"formula": "DyAgRh4", "functional": "PBE-GGA", "state": "optimized geometry", "lattice": [[0.0000, 3.7148, 3.7148], [3.7148, 0.0000, 3.7148], [3.7148, 3.7148, 0.0000]], "species": ["Dy", "Ag", "Rh", "Rh", "Rh", "Rh"], "fractional_positions": [[0.0000, 0.0000, 0.0000], [0.7500, 0.7500, 0.7500], [0.3752, 0.3752, 0.3752], [0.3752, 0.3752, 0.8743], [0.3752, 0.8743, 0.3752], [0.8743, 0.3752, 0.3752]], "crystal_system": "cubic", "density_g_cm3": 11.0, "sg": "F-43m, No. 216", "formation_enthalpy_0k_ev_per_fu": -1.90}

(3)
{"formula": "Cd2RhAu2", "functional": "PBE-GGA", "state": "optimized geometry", "lattice": [[7.2399, 0.0000, 0.0000], [0.0000, 7.2399, 0.0000], [0.0000, 0.0000, 3.7111]], "species": ["Cd", "Cd", "Cd", "Cd", "Rh", "Rh", "Au", "Au", "Au", "Au"], "fractional_positions": [[0.1697, 0.3303, 0.0000], [0.3303, 0.8303, 0.0000], [0.6697, 0.1697, 0.0000], [0.8303, 0.6697, 0.0000], [0.0000, 0.0000, 0.5000], [0.5000, 0.5000, 0.5000], [0.1350, 0.6350, 0.5000], [0.3650, 0.1350, 0.5000], [0.6350, 0.8650, 0.5000], [0.8650, 0.3650, 0.5000]], "crystal_system": "tetragonal", "density_g_cm3": 12.3, "sg": "P4/mbm, No. 127", "de_polymorph_ev_per_atom": 0.153, "formation_enthalpy_0k_ev_per_fu": 0.36}

(4)
{"formula": "TmTaBrO4", "functional": "PBE-GGA", "state": "optimized geometry", "lattice": [[6.4659, -3.1439, 0.0000], [6.4659, 3.1439, 0.0000], [-1.9297, 0.0000, 6.4464]], "species": ["Tm", "Tm", "Ta", "Ta", "Br", "Br", "O", "O", "O", "O", "O", "O", "O", "O"], "fractional_positions": [[0.2075, 0.2075, 0.3306], [0.7925, 0.7925, 0.6694], [0.1126, 0.1126, 0.7153], [0.8874, 0.8874, 0.2847], [0.4691, 0.4691, 0.8210], [0.5309, 0.5309, 0.1790], [0.0395, 0.0395, 0.3403], [0.0464, 0.5866, 0.3736], [0.1630, 0.1630, 0.0012], [0.4134, 0.9536, 0.6264], [0.5866, 0.0464, 0.3736], [0.8370, 0.8370, 0.9988], [0.9536, 0.4134, 0.6264], [0.9605, 0.9605, 0.6597]], "crystal_system": "monoclinic", "density_g_cm3": 6.3, "sg": "C2/m, No. 12", "raw_formation_energy_ev_per_atom": -2.656}

(5)
{"formula": "Ca3SmF8", "functional": "PBE-GGA", "state": "optimized geometry", "lattice": [[5.5756, 0.0000, 0.0000], [0.0000, 5.5756, 0.0000], [0.0000, 0.0000, 5.5756]], "species": ["Ca", "Ca", "Ca", "Sm", "F", "F", "F", "F", "F", "F", "F", "F"], "fractional_positions": [[0.0000, 0.0000, 0.5000], [0.0000, 0.5000, 0.0000], [0.5000, 0.0000, 0.0000], [0.5000, 0.5000, 0.5000], [0.2465, 0.2465, 0.2465], [0.2465, 0.2465, 0.7535], [0.2465, 0.7535, 0.2465], [0.2465, 0.7535, 0.7535], [0.7535, 0.2465, 0.2465], [0.7535, 0.2465, 0.7535], [0.7535, 0.7535, 0.2465], [0.7535, 0.7535, 0.7535]], "crystal_system": "cubic", "density_g_cm3": 4.0, "sg": "Pm-3m, No. 221", "raw_formation_energy_ev_per_atom": -3.761}